An optimized crystal structure of Mg2VBiO6. Source: Alexandria via LeMat-Bulk, functional GGA+U.

The calculation puts the polymorph energy (0 for the lowest one) at 0.2 kJ per mole of atoms. Its total energy is -6.5386 eV per atom. Its density of states at the Fermi level is 0.00 states/eV/cell.

The space group is Cmcm (No. 63) and the conventional cell measures 8.021, 12.557 and 5.521 Å, with angles of 90.00, 90.00 and 90.00 degrees. The distinct sites, in fractional coordinates, are Mg at (0.192, 0.089, 0.250), V at (0.000, 0.198, 0.750), Bi at (0.000, 0.410, 0.250), O at (0.000, 0.117, 0.010), O at (0.171, 0.500, 0.000) and O at (0.175, 0.277, 0.750).